[1]
Material: Os2RhSe
Method: DFT, PBE
State: optimized geometry

a = 9.092 Å, b = 2.845 Å, c = 4.889 Å
α = 90.00°, β = 105.89°, γ = 90.00°
Space group Cm (No. 8)
Inequivalent atoms, fractional coordinates:
Os  0.000  0.000  0.000
Os  0.248  0.000  0.805
Rh  0.268  0.500  0.289
Se  0.027  0.500  0.445

Results
Formation energy (no corrections) (meV per atom): 473.0
ρ (Mg/m³): 15.354

***

[2]
Material: Ac8Ni4Pd
Method: DFT, PBE
State: optimized geometry

a = 19.729 Å, b = 4.121 Å, c = 13.600 Å
α = 90.00°, β = 131.85°, γ = 90.00°
Space group Cm (No. 8)
Inequivalent atoms, fractional coordinates:
Ac  0.000  0.000  0.000
Ac  0.004  0.000  0.560
Ac  0.079  0.000  0.359
Ac  0.127  0.500  0.906
Ac  0.223  0.500  0.291
Ac  0.271  0.000  0.838
Ac  0.346  0.000  0.637
Ac  0.350  0.000  0.197
Ni  0.360  0.000  0.431
Ni  0.378  0.500  0.064
Ni  0.472  0.000  0.133
Ni  0.490  0.500  0.766
Pd  0.175  0.500  0.598

Results
Formation enthalpy at 0 K (eV per atom): -0.24
ρ (Mg/m³): 8.697

***

[3]
Material: TbHoSc4
Method: DFT, PBE
State: optimized geometry

a = 8.853 Å, b = 8.853 Å, c = 8.853 Å
α = 90.00°, β = 90.00°, γ = 90.00°
Space group F-43m (No. 216)
Inequivalent atoms, fractional coordinates:
Tb  0.000  0.000  0.000
Ho  0.250  0.250  0.750
Sc  0.125  0.125  0.375

Results
Formation enthalpy at 0 K (eV per atom): 0.23
ρ (Mg/m³): 4.822

***

[4]
Material: Nd2TmTe2N2
Method: DFT, PBE
State: optimized geometry

a = 4.390 Å, b = 4.390 Å, c = 16.453 Å
α = 90.00°, β = 90.00°, γ = 90.00°
Space group I4/mmm (No. 139)
Inequivalent atoms, fractional coordinates:
Nd  0.000  0.000  0.102
Tm  0.000  0.000  0.500
Te  0.000  0.000  0.315
N  0.000  0.500  0.000

Results
Formation energy (no corrections) (meV per atom): -1262.4
ρ (Mg/m³): 7.756

***

[5]
Material: Cs2NpInSe4
Method: DFT, PBE
State: optimized geometry

a = 6.634 Å, b = 15.312 Å, c = 26.715 Å
α = 90.00°, β = 90.00°, γ = 90.00°
Space group Fddd (No. 70, origin choice 2)
Inequivalent atoms, fractional coordinates:
Cs  0.125  0.125  0.305
Np  0.125  0.125  0.125
In  0.125  0.125  0.625
Se  0.113  0.272  0.821

Results
Formation energy (no corrections) (meV per atom): -955.9
ρ (Mg/m³): 4.570

***

[6]
Material: Sc5BePd4
Method: DFT, PBE
State: optimized geometry

a = 3.261 Å, b = 3.261 Å, c = 16.653 Å
α = 90.00°, β = 90.00°, γ = 90.00°
Space group P4/mmm (No. 123)
Inequivalent atoms, fractional coordinates:
Sc  0.000  0.000  0.000
Sc  0.000  0.000  0.205
Sc  0.000  0.000  0.408
Be  0.500  0.500  0.500
Pd  0.500  0.500  0.103
Pd  0.500  0.500  0.307

Results
Formation enthalpy at 0 K (eV per atom): -0.73
ρ (Mg/m³): 6.183

***

[7]
Material: Ba2MgHg
Method: DFT, PBE
State: optimized geometry

a = 10.288 Å, b = 4.292 Å, c = 8.294 Å
α = 90.00°, β = 102.41°, γ = 90.00°
Space group C2/m (No. 12)
Inequivalent atoms, fractional coordinates:
Ba  0.244  0.000  0.235
Mg  0.000  0.000  0.500
Hg  0.000  0.500  0.000

Results
Formation enthalpy at 0 K (eV per atom): -0.09
ρ (Mg/m³): 4.638

***

[8]
Material: KOsW
Method: DFT, PBE
State: optimized geometry

a = 6.344 Å, b = 6.344 Å, c = 6.344 Å
α = 90.00°, β = 90.00°, γ = 90.00°
Space group F-43m (No. 216)
Inequivalent atoms, fractional coordinates:
K  0.000  0.000  0.000
Os  0.250  0.250  0.750
W  0.000  0.000  0.500

Results
Formation enthalpy at 0 K (eV per atom): 1.93
ρ (Mg/m³): 10.746